(1)
Entry from Alexandria: a relaxed structure of Tb6TeAu2Se3 (PBE).

Properties
Electronic total energy: -5.37 eV per atom
Uncorrected formation energy: -16.51 eV per formula unit

Cell lengths 18.627, 4.089, 8.576 Å; angles 90.00, 107.26, 90.00 degrees
Space group C2/m (No. 12)
Asymmetric unit:
Tb  0.008  0.000  0.271 x4
Tb  0.161  0.500  0.602 x4
Tb  0.175  0.500  0.112 x4
Te  0.000  0.500  0.000 x2
Au  0.178  0.000  0.365 x4
Se  0.000  0.500  0.500 x2
Se  0.160  0.000  0.852 x4

(2)
Entry from Alexandria: a relaxed structure of TiGa2Ir (PBE).

Properties
Electronic total energy: -6.11 eV per atom
Calculated formation energy: -409 meV per atom

Cell lengths 6.212, 6.212, 6.212 Å; angles 90.00, 90.00, 90.00 degrees
Space group Fm-3m (No. 225)
Asymmetric unit:
Ti  0.000  0.000  0.000 x4
Ga  0.250  0.250  0.250 x8
Ir  0.000  0.000  0.500 x4

(3)
Entry from Alexandria: a relaxed structure of PrAg2Pd6 (PBE).

Properties
Electronic total energy: -4.75 eV per atom
Calculated formation energy: -119 meV per atom

Cell lengths 5.4682, 5.4682, 7.3210 Å; angles 90.00, 90.00, 120.00 degrees
Space group P6/mmm (No. 191)
Asymmetric unit:
Pr  0.0000  0.0000  0.0000 x1
Ag  0.3333  0.6667  0.5000 x2
Pd  0.0000  0.5000  0.1868 x6

(4)
Entry from Alexandria: a relaxed structure of Cu2TeS3 (PBE).

Properties
Electronic total energy: -4.01 eV per atom
Uncorrected formation energy: -0.34 eV per formula unit

Cell lengths 7.440, 25.972, 10.559 Å; angles 90.00, 90.00, 90.00 degrees
Space group Fdd2 (No. 43)
Asymmetric unit:
Cu  0.000  0.000  0.000 x8
Cu  0.000  0.000  0.489 x8
Cu  0.012  0.340  0.994 x16
Te  0.011  0.182  0.013 x16
S  0.004  0.430  0.629 x16
S  0.006  0.266  0.122 x16
S  0.008  0.080  0.597 x16

(5)
Entry from Alexandria: a relaxed structure of NaPt2Br (PBE).

Properties
Electronic total energy: -3.52 eV per atom
Uncorrected formation energy: 0.99 eV per formula unit
ΔE to the lowest computed polymorph: 0.0 meV/atom

Cell lengths 4.883, 4.883, 18.296 Å; angles 90.00, 90.00, 90.00 degrees
Space group I-42d (No. 122)
Asymmetric unit:
Na  0.000  0.000  0.000 x4
Pt  0.075  0.250  0.625 x8
Br  0.000  0.000  0.500 x4

(6)
Entry from Alexandria: a relaxed structure of DyErTh3 (PBE).

Properties
Electronic total energy: -5.90 eV per atom
Calculated formation energy: 385 meV per atom
ΔE to the lowest computed polymorph: 0.0 meV/atom

Cell lengths 6.003, 16.567, 3.492 Å; angles 90.00, 94.24, 90.00 degrees
Space group C2 (No. 5)
Asymmetric unit:
Dy  0.000  0.000  0.000 x2
Er  0.000  0.535  0.500 x2
Th  0.000  0.167  0.500 x2
Th  0.246  0.829  0.783 x4